1.
# GGA-PBE Cr3Pt, optimized geometry
data_Cr3Pt
_chemical_formula_sum 'Cr12 Pt4'
_space_group_name_H-M_alt 'P 1'
_space_group_IT_number 1
_space_group_name_Hall 'P 1'
_cell_length_a 4.5556
_cell_length_b 8.4950
_cell_length_c 5.2893
_cell_angle_alpha 90.00
_cell_angle_beta 90.00
_cell_angle_gamma 90.00
loop_
_atom_site_label
_atom_site_fract_x
_atom_site_fract_y
_atom_site_fract_z
Cr1 0.0944 0.2500 0.1195
Cr2 0.2440 0.0068 0.3451
Cr3 0.2440 0.4932 0.3451
Cr4 0.2560 0.5068 0.8451
Cr5 0.2560 0.9932 0.8451
Cr6 0.4056 0.7500 0.6195
Cr7 0.5944 0.2500 0.3805
Cr8 0.7440 0.0068 0.1549
Cr9 0.7440 0.4932 0.1549
Cr10 0.7560 0.5068 0.6549
Cr11 0.7560 0.9932 0.6549
Cr12 0.9056 0.7500 0.8805
Pt1 0.0858 0.2500 0.6135
Pt2 0.4142 0.7500 0.1135
Pt3 0.5858 0.2500 0.8865
Pt4 0.9142 0.7500 0.3865
# Formation enthalpy at 0 K (eV/atom): 0.073
# Mass density (g/cm3): 11.4
# Total DFT energy (no corrections) (eV per atom): -8.65

---

2.
# GGA-PBE Cr5Pt, optimized geometry
data_Cr5Pt
_chemical_formula_sum 'Cr10 Pt2'
_space_group_name_H-M_alt 'P 1'
_space_group_IT_number 1
_space_group_name_Hall 'P 1'
_cell_length_a 9.7443
_cell_length_b 2.5109
_cell_length_c 6.3593
_cell_angle_alpha 90.00
_cell_angle_beta 104.85
_cell_angle_gamma 90.00
loop_
_atom_site_label
_atom_site_fract_x
_atom_site_fract_y
_atom_site_fract_z
Cr1 0.0000 0.0000 0.0000
Cr2 0.0567 0.0000 0.6365
Cr3 0.1697 0.5000 0.3426
Cr4 0.3291 0.0000 0.6669
Cr5 0.4102 0.0000 0.2998
Cr6 0.5000 0.5000 0.0000
Cr7 0.5567 0.5000 0.6365
Cr8 0.6697 0.0000 0.3426
Cr9 0.8291 0.5000 0.6669
Cr10 0.9102 0.5000 0.2998
Pt1 0.2296 0.5000 0.9633
Pt2 0.7296 0.0000 0.9633
# Energy relative to the lowest polymorph listed for this composition (eV per formula unit): 1.072
# Formation enthalpy at 0 K (eV/atom): 0.183
# Mass density (g/cm3): 10.0
# Total DFT energy (no corrections) (eV per atom): -8.84